1.
Density functional theory data (PBE) for an optimized crystal structure of Mg3HgPb.

abc: 9.315 9.315 5.124
angles: 90.00 90.00 147.64
Fractional positions:
1 Mg 0.051 0.949 0.750
2 Mg 0.251 0.749 0.750
3 Mg 0.448 0.552 0.750
4 Mg 0.552 0.448 0.250
5 Mg 0.749 0.251 0.250
6 Mg 0.949 0.051 0.250
7 Hg 0.356 0.644 0.250
8 Hg 0.644 0.356 0.750
9 Pb 0.148 0.852 0.250
10 Pb 0.852 0.148 0.750

Calculated formation energy   -0.10 eV per atom
Density   6.71 g/cm3
Volume   119 Å³/f.u.
Relative energy among the computed polymorphs   0 meV per atom
DOS at the Fermi energy   0.312 states/eV/atom
VASP energy   -1.854 eV/atom

***

2.
Density functional theory data (PBE) for an optimized crystal structure of Y12Ru3N5.

abc: 13.171 13.171 13.171
angles: 109.47 109.47 109.47
Fractional positions:
1 Y 0.024 0.205 0.122
2 Y 0.024 0.319 0.901
3 Y 0.083 0.705 0.681
4 Y 0.083 0.878 0.401
5 Y 0.099 0.622 0.417
6 Y 0.099 0.976 0.681
7 Y 0.122 0.024 0.205
8 Y 0.122 0.599 0.917
9 Y 0.181 0.205 0.583
10 Y 0.181 0.476 0.599
11 Y 0.205 0.122 0.024
12 Y 0.205 0.583 0.181
13 Y 0.295 0.319 0.917
14 Y 0.295 0.476 0.378
15 Y 0.319 0.901 0.024
16 Y 0.319 0.917 0.295
17 Y 0.378 0.295 0.476
18 Y 0.378 0.583 0.901
19 Y 0.401 0.083 0.878
20 Y 0.401 0.819 0.524
21 Y 0.417 0.099 0.622
22 Y 0.417 0.819 0.795
23 Y 0.476 0.378 0.295
24 Y 0.476 0.599 0.181
25 Y 0.524 0.401 0.819
26 Y 0.524 0.622 0.705
27 Y 0.583 0.181 0.205
28 Y 0.583 0.901 0.378
29 Y 0.599 0.181 0.476
30 Y 0.599 0.917 0.122
31 Y 0.622 0.417 0.099
32 Y 0.622 0.705 0.524
33 Y 0.681 0.083 0.705
34 Y 0.681 0.099 0.976
35 Y 0.705 0.524 0.622
36 Y 0.705 0.681 0.083
37 Y 0.795 0.417 0.819
38 Y 0.795 0.878 0.976
39 Y 0.819 0.524 0.401
40 Y 0.819 0.795 0.417
41 Y 0.878 0.401 0.083
42 Y 0.878 0.976 0.795
43 Y 0.901 0.024 0.319
44 Y 0.901 0.378 0.583
45 Y 0.917 0.122 0.599
46 Y 0.917 0.295 0.319
47 Y 0.976 0.681 0.099
48 Y 0.976 0.795 0.878
49 Ru 0.125 0.250 0.375
50 Ru 0.125 0.375 0.750
51 Ru 0.250 0.375 0.125
52 Ru 0.250 0.875 0.625
53 Ru 0.375 0.125 0.250
54 Ru 0.375 0.750 0.125
55 Ru 0.625 0.250 0.875
56 Ru 0.625 0.875 0.750
57 Ru 0.750 0.125 0.375
58 Ru 0.750 0.625 0.875
59 Ru 0.875 0.625 0.250
60 Ru 0.875 0.750 0.625
61 N 0.000 0.000 0.000
62 N 0.000 0.000 0.500
63 N 0.000 0.500 0.000
64 N 0.000 0.500 0.500
65 N 0.125 0.750 0.875
66 N 0.125 0.875 0.250
67 N 0.250 0.125 0.875
68 N 0.250 0.625 0.375
69 N 0.375 0.250 0.625
70 N 0.375 0.625 0.750
71 N 0.500 0.000 0.000
72 N 0.500 0.000 0.500
73 N 0.500 0.500 0.000
74 N 0.500 0.500 0.500
75 N 0.625 0.375 0.250
76 N 0.625 0.750 0.375
77 N 0.750 0.375 0.625
78 N 0.750 0.875 0.125
79 N 0.875 0.125 0.750
80 N 0.875 0.250 0.125

Formation energy without anion corrections   -0.81 eV/atom
Density   5.44 g/cm3
Volume   440 Å³/f.u.
DOS at the Fermi energy   0.714 states/eV/atom
VASP energy   -8.161 eV/atom